A plane-wave DFT calculation with PBE with a Hubbard U was carried out for an optimized crystal structure of BeMoS2F.

Summary:
symmetry: P4/mmm, No. 123
raw total energy: -3.506 eV/atom
D(E_F): 0.37 states/eV/atom

Lattice parameters (Å, degrees): 4.9871 4.9871 3.9691 90.00 90.00 90.00
Closest atoms and distances in Å follow each position.
Positions (direct):
Be  0.0000  0.0000  0.0000  8 S 3.19, 4 Mo 3.53
Mo  0.5000  0.5000  0.0000  2 F 1.98
S  0.0000  0.5000  0.5000  2 F 2.49
S  0.5000  0.0000  0.5000  2 F 2.49
F  0.5000  0.5000  0.5000  2 Mo 1.98